No. 1
Entry from the Open Quantum Materials Database: crystalline Ba2LiOsS6 at its relaxed geometry (GGA-PBE).

The value obtained for the total energy is -5.073 eV/atom. Its energy above the most stable polymorph in this dataset is 1 meV per atom.

The structure belongs to space group I4/m (No. 87); the cell edges are 6.7782, 6.7782 and 9.5947 Å and the angles 90.00°, 90.00° and 90.00°. The distinct sites, in fractional coordinates, are Ba at (0.0000, 0.5000, 0.2500), Li at (0.0000, 0.0000, 0.0000), Os at (0.0000, 0.0000, 0.5000), S at (0.0000, 0.0000, 0.2544) and S at (0.2415, 0.2499, 0.5000).

=====

No. 2
Entry from the Open Quantum Materials Database: crystalline TbTmAl2Pt4 at its relaxed geometry (GGA-PBE).

The value obtained for the total energy is -6.299 eV/atom.

The structure belongs to space group P-6m2 (No. 187); the cell edges are 4.3348, 4.3348 and 9.2134 Å and the angles 90.00°, 90.00° and 120.00°. The distinct sites, in fractional coordinates, are Tb at (0.0000, 0.0000, 0.0000), Tm at (0.6667, 0.3333, 0.5000), Al at (0.3333, 0.6667, 0.2516), Pt at (0.0000, 0.0000, 0.3379) and Pt at (0.6667, 0.3333, 0.1695).

=====

No. 3
Entry from the Open Quantum Materials Database: crystalline CuTePbF at its relaxed geometry (GGA-PBE).

The value obtained for the total energy is -3.918 eV/atom. Its energy above the most stable polymorph in this dataset is 147 meV per atom.

The structure belongs to space group Pbam (No. 55); the cell edges are 9.1676, 18.6529 and 4.6866 Å and the angles 90.00°, 90.00° and 90.00°. The distinct sites, in fractional coordinates, are Cu at (0.0939, 0.0945, 0.0000), Cu at (0.1110, 0.6528, 0.0000), Te at (0.0099, 0.1276, 0.5000), Te at (0.0226, 0.6223, 0.5000), Pb at (0.2329, 0.2624, 0.5000), Pb at (0.2466, 0.4867, 0.5000), F at (0.2225, 0.9982, 0.0000) and F at (0.2263, 0.7515, 0.0000).

=====

No. 4
Entry from the Open Quantum Materials Database: crystalline PrDyNp at its relaxed geometry (GGA-PBE).

The value obtained for the total energy is -6.236 eV/atom. Its energy above the most stable polymorph in this dataset is 0 meV per atom. The formation enthalpy at 0 K comes out at 1146 meV per atom.

The structure belongs to space group F-43m (No. 216); the cell edges are 7.2517, 7.2517 and 7.2517 Å and the angles 90.00°, 90.00° and 90.00°. The distinct sites, in fractional coordinates, are Pr at (0.0000, 0.0000, 0.0000), Dy at (0.2500, 0.2500, 0.7500) and Np at (0.2500, 0.2500, 0.2500).

=====

No. 5
Entry from the Open Quantum Materials Database: crystalline RbAgTe2OsS at its relaxed geometry (GGA-PBE).

The value obtained for the total energy is -4.256 eV/atom.

The structure belongs to space group Cmcm (No. 63); the cell edges are 4.0869, 16.5698 and 9.9136 Å and the angles 90.00°, 90.00° and 90.00°. The distinct sites, in fractional coordinates, are Rb at (0.0000, 0.2334, 0.2500), Ag at (0.0000, 0.4600, 0.7500), Te at (0.0000, 0.3910, 0.5060), Os at (0.0000, 0.0000, 0.0000) and S at (0.0000, 0.0518, 0.7500).

=====

No. 6
Entry from the Open Quantum Materials Database: crystalline CsSmHfTe3 at its relaxed geometry (GGA-PBE).

The value obtained for the total energy is -5.175 eV/atom.

The structure belongs to space group Cmcm (No. 63); the cell edges are 4.5629, 17.5246 and 11.6789 Å and the angles 90.00°, 90.00° and 90.00°. The distinct sites, in fractional coordinates, are Cs at (0.0000, 0.2463, 0.2500), Sm at (0.0000, 0.5000, 0.0000), Hf at (0.0000, 0.0285, 0.7500), Te at (0.0000, 0.1214, 0.5571) and Te at (0.0000, 0.4324, 0.7500).

=====

No. 7
Entry from the Open Quantum Materials Database: crystalline NdMoAu at its relaxed geometry (GGA-PBE).

The value obtained for the total energy is -5.623 eV/atom. The formation enthalpy at 0 K comes out at 669 meV per atom.

The structure belongs to space group F-43m (No. 216); the cell edges are 6.6989, 6.6989 and 6.6989 Å and the angles 90.00°, 90.00° and 90.00°. The distinct sites, in fractional coordinates, are Nd at (0.0000, 0.0000, 0.0000), Mo at (0.2500, 0.2500, 0.7500) and Au at (0.0000, 0.0000, 0.5000).

=====

No. 8
Entry from the Open Quantum Materials Database: crystalline PmCuRe at its relaxed geometry (GGA-PBE).

The value obtained for the total energy is -5.423 eV/atom. The formation enthalpy at 0 K comes out at 1539 meV per atom.

The structure belongs to space group F-43m (No. 216); the cell edges are 6.5589, 6.5589 and 6.5589 Å and the angles 90.00°, 90.00° and 90.00°. The distinct sites, in fractional coordinates, are Pm at (0.0000, 0.0000, 0.0000), Cu at (0.2500, 0.2500, 0.7500) and Re at (0.2500, 0.2500, 0.2500).

=====

No. 9
Entry from the Open Quantum Materials Database: crystalline Y4Nb2Bi3N3 at its relaxed geometry (GGA-PBE).

The value obtained for the total energy is -7.776 eV/atom.

The structure belongs to space group C2/c (No. 15); the cell edges are 10.6116, 6.1525 and 14.8581 Å and the angles 90.00°, 103.58° and 90.00°. The distinct sites, in fractional coordinates, are Y at (0.1131, 0.0834, 0.0875), Y at (0.2203, 0.0816, 0.4126), Nb at (0.0566, 0.4203, 0.9294), Bi at (0.0000, 0.1104, 0.7500), Bi at (0.1542, 0.4290, 0.2494), N at (0.0817, 0.2548, 0.5000) and N at (0.2500, 0.2500, 0.0000).

=====

No. 10
Entry from the Open Quantum Materials Database: crystalline DyB4Au at its relaxed geometry (GGA-PBE).

The value obtained for the total energy is -5.849 eV/atom. Its energy above the most stable polymorph in this dataset is 0 meV per atom.

The structure belongs to space group Immm (No. 71); the cell edges are 3.2040, 5.2382 and 8.1417 Å and the angles 90.00°, 90.00° and 90.00°. The distinct sites, in fractional coordinates, are Dy at (0.0000, 0.0000, 0.0000), B at (0.0000, 0.3142, 0.2696) and Au at (0.0000, 0.0000, 0.5000).

=====

No. 11
Entry from the Open Quantum Materials Database: crystalline DyTl2Co at its relaxed geometry (GGA-PBE).

The value obtained for the total energy is -3.954 eV/atom.

The structure belongs to space group P3m1 (No. 156); the cell edges are 4.2236, 4.2236 and 6.5862 Å and the angles 90.00°, 90.00° and 120.00°. The distinct sites, in fractional coordinates, are Dy at (0.0000, 0.0000, 0.0000), Tl at (0.3333, 0.6667, 0.6586), Tl at (0.6667, 0.3333, 0.3441) and Co at (0.3333, 0.6667, 0.1833).

=====

No. 12
Entry from the Open Quantum Materials Database: crystalline RePbNO at its relaxed geometry (GGA-PBE).

The value obtained for the total energy is -7.011 eV/atom. Its energy above the most stable polymorph in this dataset is 598 meV per atom.

The structure belongs to space group P4/nmm (No. 129, origin choice 2); the cell edges are 4.1829, 4.1829 and 8.4560 Å and the angles 90.00°, 90.00° and 90.00°. The distinct sites, in fractional coordinates, are Re at (0.2500, 0.2500, 0.0656), Pb at (0.2500, 0.7500, 0.5000), N at (0.2500, 0.2500, 0.2686) and O at (0.2500, 0.7500, 0.0000).

=====

> Number 1 is which compound?

Ba2LiOsS6